The following is a PBE-GGA calculation of a geometry-optimized Y4CuSN2 structure, from OQMD via LeMat-Bulk.

Structure (extended XYZ):
```
8
Lattice="3.576 0.000 0.000 -1.788 3.097 0.000 0.000 0.000 13.294" Properties=species:S:1:pos:R:3 pbc="T T T"
Y 0.000 0.000 1.899
Y 0.000 0.000 11.395
Y 1.788 1.032 4.608
Y 1.788 1.032 8.686
Cu 0.000 0.000 6.647
S 1.788 1.032 0.000
N 0.000 2.064 3.113
N 0.000 2.064 10.181
```

Properties
symmetry: P-6m2 (187)
raw total energy: -60.871 eV per cell

***

The following is a PBE-GGA calculation of a geometry-optimized Mg3Nb structure, from OQMD via LeMat-Bulk.

Structure (extended XYZ):
```
8
Lattice="3.028 -5.567 0.000 3.028 5.567 0.000 0.000 0.000 4.898" Properties=species:S:1:pos:R:3 pbc="T T T"
Mg 1.544 1.992 3.674
Mg 3.028 4.716 3.674
Mg 1.544 -1.992 1.225
Mg 4.513 1.992 3.674
Mg 3.028 -4.716 1.225
Mg 4.513 -1.992 1.225
Nb 3.028 0.534 1.225
Nb 3.028 -0.534 3.674
```

Properties
symmetry: Cmcm (63)
raw total energy: -28.095 eV per cell

***

The following is a PBE-GGA calculation of a geometry-optimized Cs2LiTcF6 structure, from OQMD via LeMat-Bulk.

Structure (extended XYZ):
```
10
Lattice="-2.936 2.936 4.115 2.936 -2.936 4.115 2.936 2.936 -4.115" Properties=species:S:1:pos:R:3 pbc="T T T"
Cs 2.936 0.000 2.057
Cs 0.000 2.936 2.057
Li 0.000 0.000 0.000
Tc 0.000 0.000 4.115
F 1.480 1.480 0.000
F 1.456 -1.456 4.115
F 0.000 0.000 2.096
F 0.000 0.000 6.134
F -1.456 1.456 4.115
F 1.456 1.456 4.115
```

Properties
ΔE to the lowest computed polymorph: 4 meV/atom
symmetry: I4/mmm (139)

***

The following is a PBE-GGA calculation of a geometry-optimized Dy2Sc2Br3NCl2 structure, from OQMD via LeMat-Bulk.

Structure (extended XYZ):
```
10
Lattice="8.432 -1.806 0.000 8.432 1.806 0.000 -1.848 0.000 7.797" Properties=species:S:1:pos:R:3 pbc="T T T"
Dy -0.534 0.000 2.346
Dy 15.550 0.000 5.450
Sc 5.380 0.000 3.390
Sc 9.636 0.000 4.406
Br 1.362 0.000 6.425
Br 8.432 0.000 0.000
Br 13.654 0.000 1.371
N 7.508 0.000 3.898
Cl 2.181 0.000 2.784
Cl 12.835 0.000 5.013
```

Properties
symmetry: C2/m (12)
raw total energy: -55.784 eV per cell